1.
## KZrTl2 (PBE)

Data for an optimized crystal structure of KZrTl2.

a = 5.7763 Å, b = 5.7763 Å, c = 3.2382 Å
α = 90.00°, β = 90.00°, γ = 90.05°
Closest atoms and distances in Å follow each position.
Element x y z (fractional)
Tl  0.5000  0.5000  0.0000  2 Tl 3.24, 4 K 3.31, 4 Zr 3.31
Tl  0.0000  0.0000  0.0000  2 Tl 3.24, 4 Zr 3.31, 4 K 3.31
K  0.0000  0.5000  0.5000  2 K 3.24, 8 Tl 3.31
Zr  0.5000  0.0000  0.5000  2 Zr 3.24, 8 Tl 3.31

Summary:
ΔE_f = 130 meV/atom
Raw total energy = -3.4644 eV/atom
Total moment = 0.0 μB per formula unit
DOS at the Fermi energy = 2.1 states/eV/f.u.
Energy relative to the lowest polymorph listed for this composition = 93.6 meV per atom

---

2.
## GaIr2Rh (PBE)

Data for an optimized crystal structure of GaIr2Rh.

a = 4.2799 Å, b = 4.2799 Å, c = 4.5007 Å
α = 61.61°, β = 61.61°, γ = 60.00°
Closest atoms and distances in Å follow each position.
Element x y z (fractional)
Ga  0.7519  0.7519  0.7442  3 Rh 2.57, 3 Ir 2.59
Ir  0.0169  0.0169  0.9492  3 Ga 2.59, 4 Ir 2.62-2.72, 3 Rh 2.88
Ir  0.2493  0.2493  0.2522  4 Ir 2.62-2.72, 4 Rh 2.62-2.72
Rh  0.4818  0.4818  0.5545  3 Ga 2.57, 4 Ir 2.62-2.72

Summary:
ΔE_f = 42 meV/atom
Raw total energy = -6.9833 eV/atom
Total moment = 0.0 μB per formula unit
DOS at the Fermi energy = 6.7 states/eV/f.u.

---

3.
## PmPr3Nd2As6 (PBE)

Data for an optimized crystal structure of PmPr3Nd2As6.

a = 4.2871 Å, b = 8.5679 Å, c = 9.5788 Å
α = 102.93°, β = 102.93°, γ = 90.00°
Closest atoms and distances in Å follow each position.
Element x y z (fractional)
Nd  0.8335  0.6671  0.6671  6 As 3.02
Nd  0.1665  0.3329  0.3329  6 As 3.02
Pm  0.5000  0.0000  0.0000  6 As 3.01
As  0.6671  0.5820  0.3343  3 Nd 3.02, 3 Pr 3.04
As  0.0003  0.2473  0.0006  2 Pm 3.01, 1 Nd 3.02, 3 Pr 3.04-3.05
As  0.3343  0.9160  0.6687  1 Pm 3.01, 2 Nd 3.02, 3 Pr 3.04-3.05
As  0.3329  0.4180  0.6657  3 Nd 3.02, 3 Pr 3.04
As  0.9997  0.7527  0.9994  2 Pm 3.01, 1 Nd 3.02, 3 Pr 3.04-3.05
As  0.6657  0.0840  0.3313  1 Pm 3.01, 2 Nd 3.02, 3 Pr 3.04-3.05
Pr  0.8332  0.1667  0.6665  6 As 3.04-3.05
Pr  0.1668  0.8333  0.3335  6 As 3.04-3.05
Pr  0.5000  0.5000  0.0000  6 As 3.04-3.05

Summary:
ΔE_f = -1508 meV/atom
Raw total energy = -6.2185 eV/atom
Total moment = 0.0 μB per formula unit
DOS at the Fermi energy = 1.7 states/eV/f.u.

---

4.
## TbDy6Th3 (PBE)

Data for an optimized crystal structure of TbDy6Th3.

a = 3.4971 Å, b = 13.1371 Å, c = 14.2197 Å
α = 82.38°, β = 90.02°, γ = 89.99°
Closest atoms and distances in Å follow each position.
Element x y z (fractional)
Dy  0.7496  0.2243  0.7027  6 Dy 3.31-3.50, 3 Th 3.38-3.49, 2 Tb 3.56
Dy  0.2492  0.3725  0.5209  9 Dy 3.49-3.77, 3 Th 3.58-3.65
Dy  0.2502  0.2541  0.2949  5 Th 3.48-3.70, 7 Dy 3.50-3.75
Dy  0.7499  0.0614  0.9014  5 Dy 3.31-3.51, 5 Th 3.38-3.56
Dy  0.2504  0.7757  0.2973  6 Dy 3.31-3.50, 3 Th 3.38-3.49, 2 Tb 3.56
Dy  0.7508  0.6275  0.4791  9 Dy 3.49-3.77, 3 Th 3.58-3.65
Dy  0.2498  0.5747  0.8987  3 Th 3.29-3.56, 1 Tb 3.43, 2 Dy 3.50
Dy  0.7502  0.4253  0.1013  3 Th 3.29-3.56, 1 Tb 3.43, 2 Dy 3.50
Dy  0.7499  0.1224  0.5000  7 Dy 3.34-3.66, 3 Th 3.42-3.58
Dy  0.2501  0.8776  0.5000  7 Dy 3.34-3.66, 3 Th 3.42-3.58
Dy  0.7498  0.7459  0.7051  5 Th 3.48-3.70, 7 Dy 3.50-3.75
Dy  0.2501  0.9386  0.0986  5 Dy 3.31-3.51, 5 Th 3.38-3.56
Th  0.2498  0.9943  0.7011  3 Th 3.34-3.50, 9 Dy 3.42-3.70
Th  0.7491  0.4805  0.7099  7 Dy 3.38-3.65, 2 Th 3.50, 2 Tb 3.62
Th  0.2500  0.8254  0.8987  6 Dy 3.29-3.56, 3 Th 3.34-3.50
Th  0.7500  0.1746  0.1013  6 Dy 3.29-3.56, 3 Th 3.34-3.50
Th  0.2509  0.5195  0.2901  7 Dy 3.38-3.65, 2 Th 3.50, 2 Tb 3.62
Th  0.7502  0.0057  0.2989  3 Th 3.34-3.50, 9 Dy 3.42-3.70
Tb  0.2497  0.3147  0.8935  5 Dy 3.43-3.75, 2 Tb 3.50, 4 Th 3.62-3.71
Tb  0.7503  0.6853  0.1065  5 Dy 3.43-3.75, 2 Tb 3.50, 4 Th 3.62-3.71

Summary:
ΔE_f = 104 meV/atom
Raw total energy = -5.3457 eV/atom
Total moment = 0.0 μB per formula unit
DOS at the Fermi energy = 14.8 states/eV/f.u.

---

5.
## FeMoAs2 (PBE)

Data for an optimized crystal structure of FeMoAs2.

a = 4.6573 Å, b = 4.6573 Å, c = 4.3771 Å
α = 76.15°, β = 76.15°, γ = 40.57°
Closest atoms and distances in Å follow each position.
Element x y z (fractional)
As  0.0054  0.0054  0.9346  3 Mo 2.53, 4 Fe 2.72
As  0.2453  0.2453  0.3174  3 Fe 2.51-2.54, 4 Mo 2.70-2.74
Fe  0.5128  0.5128  0.4307  7 As 2.51-2.72
Mo  0.7365  0.7365  0.8173  7 As 2.53-2.74

Summary:
ΔE_f = -16 meV/atom
Raw total energy = -7.1641 eV/atom
Total moment = 2.1 μB per formula unit
DOS at the Fermi energy = 2.7 states/eV/f.u.
Energy relative to the lowest polymorph listed for this composition = 165.6 meV per atom

---

6.
## SrNi2Au (PBE)

Data for an optimized crystal structure of SrNi2Au.

a = 4.6493 Å, b = 4.6493 Å, c = 4.6493 Å
α = 60.00°, β = 60.00°, γ = 60.00°
Closest atoms and distances in Å follow each position.
Element x y z (fractional)
Ni  0.7500  0.7500  0.7500  4 Au 2.85, 4 Sr 2.85
Ni  0.2500  0.2500  0.2500  4 Sr 2.85, 4 Au 2.85
Au  0.5000  0.5000  0.5000  8 Ni 2.85
Sr  0.0000  0.0000  0.0000  8 Ni 2.85

Summary:
ΔE_f = 147 meV/atom
Raw total energy = -3.9837 eV/atom
Total moment = 0.0 μB per formula unit
DOS at the Fermi energy = 2.5 states/eV/f.u.

---

7.
## SrCu2W (PBE)

Data for an optimized crystal structure of SrCu2W.

a = 9.4235 Å, b = 9.4235 Å, c = 9.4235 Å
α = 18.42°, β = 18.42°, γ = 18.42°
Closest atoms and distances in Å follow each position.
Element x y z (fractional)
Cu  0.0110  0.0110  0.0110  3 W 2.66
Cu  0.4890  0.4890  0.4890  3 W 2.66
W  0.7500  0.7500  0.7500  6 Cu 2.66
Sr  0.2500  0.2500  0.2500  6 Sr 3.02, 6 Cu 3.15

Summary:
ΔE_f = 894 meV/atom
Raw total energy = -4.8131 eV/atom
Total moment = 0.0 μB per formula unit
DOS at the Fermi energy = 3.5 states/eV/f.u.
Energy relative to the lowest polymorph listed for this composition = 232.8 meV per atom

---

8.
## InHgTe2 (PBE)

Data for an optimized crystal structure of InHgTe2.

a = 6.1560 Å, b = 4.4707 Å, c = 4.4707 Å
α = 90.00°, β = 90.00°, γ = 90.00°
Closest atoms and distances in Å follow each position.
Element x y z (fractional)
Hg  0.5000  0.5000  0.0000  4 In 3.16
In  0.5000  0.0000  0.5000  4 Hg 3.16
Te  0.0000  0.0000  0.0000  4 Te 3.16
Te  0.0000  0.5000  0.5000  4 Te 3.16

Summary:
Raw total energy = -2.3345 eV/atom
Total moment = 0.0 μB per formula unit
DOS at the Fermi energy = 2.1 states/eV/f.u.
ΔE_f (raw) = -4 meV per atom